Entry 1:
A geometry-optimized RbV2Si structure, computed with PBE.

Summary:
size of the total moment	6.720	μB per formula unit
DOS at the Fermi energy	1.50	states/eV/atom
ρ	4.5	g/cm³
energy relative to the lowest polymorph listed for this composition	89	meV/atom
raw formation energy	1.21	eV/atom
crystal system	cubic

abc: 4.842 4.842 4.842
angles: 60.00 60.00 60.00
Site moments in Bohr magnetons follow the coordinates.
Sites, in units of the cell vectors:
Rb 0.500 0.500 0.500  0.12
Si 0.000 0.000 0.000  -0.17
V 0.250 0.250 0.250  2.78
V 0.750 0.750 0.750  2.78


Entry 2:
A geometry-optimized YSe3 structure, computed with PBE.

Summary:
size of the total moment	0.000	μB per formula unit
DOS at the Fermi energy	0.32	states/eV/atom
ρ	5.4	g/cm³
raw formation energy	-0.85	eV/atom
crystal system	trigonal

abc: 5.178 5.178 5.178
angles: 110.90 110.90 110.90
Sites, in units of the cell vectors:
Y 0.500 0.500 0.000
Se 0.000 0.500 0.500
Se 0.000 0.000 0.000
Se 0.500 0.000 0.500


Entry 3:
A geometry-optimized ScCr2Fe structure, computed with PBE.

Summary:
size of the total moment	1.454	μB per formula unit
DOS at the Fermi energy	1.09	states/eV/atom
ρ	6.3	g/cm³
energy relative to the lowest polymorph listed for this composition	292	meV/atom
crystal system	orthorhombic

abc: 5.022 5.022 2.523
angles: 90.00 90.00 122.34
Site moments in Bohr magnetons follow the coordinates.
Sites, in units of the cell vectors:
Cr 0.000 0.000 0.000  0.07
Cr 0.500 0.500 0.000  0.07
Fe 0.500 0.000 0.500  1.51
Sc 0.000 0.500 0.500  -0.15


Which of these has the lowest size of the total moment?
YSe3


Which value of size of the total moment does entry 2 give?
0.000 μB per formula unit


DOS at the Fermi energy of number 2 (YSe3)?
0.32 states/eV/atom


Which of these has the lowest size of the total moment?
YSe3